[1]
# Tl2ReNi | Alexandria | meta-GGA SCAN | single point on PBEsol structure
data_Tl2ReNi
_chemical_formula_sum 'Tl2 Re1 Ni1'
_symmetry_space_group_name_H-M 'P 1'
_symmetry_Int_Tables_number 1
_cell_length_a 4.723
_cell_length_b 3.019
_cell_length_c 5.334
_cell_angle_alpha 90.00
_cell_angle_beta 113.19
_cell_angle_gamma 90.00
loop_
_symmetry_equiv_pos_as_xyz
'x,y,z'
loop_
_atom_site_label
_atom_site_type_symbol
_atom_site_fract_x
_atom_site_fract_y
_atom_site_fract_z
Tl1 Tl 0.000 0.000 0.000
Tl2 Tl 0.000 0.500 0.500
Re1 Re 0.500 0.000 0.500
Ni1 Ni 0.500 0.500 0.000
# symmetry	P2/m



[2]
# TlReNi2 | Alexandria | meta-GGA SCAN | single point on PBEsol structure
data_TlReNi2
_chemical_formula_sum 'Tl1 Re1 Ni2'
_symmetry_space_group_name_H-M 'P 1'
_symmetry_Int_Tables_number 1
_cell_length_a 4.447
_cell_length_b 4.447
_cell_length_c 4.447
_cell_angle_alpha 125.74
_cell_angle_beta 125.74
_cell_angle_gamma 80.32
loop_
_symmetry_equiv_pos_as_xyz
'x,y,z'
loop_
_atom_site_label
_atom_site_type_symbol
_atom_site_fract_x
_atom_site_fract_y
_atom_site_fract_z
Tl1 Tl 0.000 0.000 0.000
Re1 Re 0.500 0.500 0.000
Ni1 Ni 0.250 0.750 0.500
Ni2 Ni 0.750 0.250 0.500
# symmetry	I4/mmm



[3]
# Tl2ReNi | Alexandria | meta-GGA SCAN | single point on PBEsol structure
data_Tl2ReNi
_chemical_formula_sum 'Tl2 Re1 Ni1'
_symmetry_space_group_name_H-M 'P 1'
_symmetry_Int_Tables_number 1
_cell_length_a 4.533
_cell_length_b 4.533
_cell_length_c 3.313
_cell_angle_alpha 90.00
_cell_angle_beta 90.00
_cell_angle_gamma 90.00
loop_
_symmetry_equiv_pos_as_xyz
'x,y,z'
loop_
_atom_site_label
_atom_site_type_symbol
_atom_site_fract_x
_atom_site_fract_y
_atom_site_fract_z
Tl1 Tl 0.000 0.500 0.000
Tl2 Tl 0.500 0.000 0.000
Re1 Re 0.000 0.000 0.500
Ni1 Ni 0.500 0.500 0.500
# symmetry	P4/mmm



[4]
# Tl2ReNi | Alexandria | meta-GGA SCAN | single point on PBEsol structure
data_Tl2ReNi
_chemical_formula_sum 'Tl2 Re1 Ni1'
_symmetry_space_group_name_H-M 'P 1'
_symmetry_Int_Tables_number 1
_cell_length_a 4.644
_cell_length_b 4.644
_cell_length_c 4.644
_cell_angle_alpha 60.00
_cell_angle_beta 60.00
_cell_angle_gamma 60.00
loop_
_symmetry_equiv_pos_as_xyz
'x,y,z'
loop_
_atom_site_label
_atom_site_type_symbol
_atom_site_fract_x
_atom_site_fract_y
_atom_site_fract_z
Tl1 Tl 0.000 0.000 0.000
Tl2 Tl 0.250 0.250 0.250
Re1 Re 0.500 0.500 0.500
Ni1 Ni 0.750 0.750 0.750
# symmetry	F-43m



[5]
# TlReNi2 | Alexandria | meta-GGA SCAN | single point on PBEsol structure
data_TlReNi2
_chemical_formula_sum 'Tl1 Re1 Ni2'
_symmetry_space_group_name_H-M 'P 1'
_symmetry_Int_Tables_number 1
_cell_length_a 8.550
_cell_length_b 8.550
_cell_length_c 8.550
_cell_angle_alpha 19.05
_cell_angle_beta 19.05
_cell_angle_gamma 19.05
loop_
_symmetry_equiv_pos_as_xyz
'x,y,z'
loop_
_atom_site_label
_atom_site_type_symbol
_atom_site_fract_x
_atom_site_fract_y
_atom_site_fract_z
Tl1 Tl 0.000 0.000 0.000
Re1 Re 0.766 0.766 0.766
Ni1 Ni 0.248 0.248 0.248
Ni2 Ni 0.508 0.508 0.508
# symmetry	R3m



[6]
# ReNiW | Alexandria | meta-GGA SCAN | single point on PBEsol structure
data_ReNiW
_chemical_formula_sum 'Re1 Ni1 W1'
_symmetry_space_group_name_H-M 'P 1'
_symmetry_Int_Tables_number 1
_cell_length_a 4.679
_cell_length_b 4.679
_cell_length_c 4.679
_cell_angle_alpha 148.06
_cell_angle_beta 129.75
_cell_angle_gamma 60.79
loop_
_symmetry_equiv_pos_as_xyz
'x,y,z'
loop_
_atom_site_label
_atom_site_type_symbol
_atom_site_fract_x
_atom_site_fract_y
_atom_site_fract_z
Re1 Re 0.000 0.000 0.000
Ni1 Ni 0.660 0.660 0.000
W1 W 0.326 0.326 0.000
# symmetry	Imm2



[7]
# ReNiW | Alexandria | meta-GGA SCAN | single point on PBEsol structure
data_ReNiW
_chemical_formula_sum 'Re1 Ni1 W1'
_symmetry_space_group_name_H-M 'P 1'
_symmetry_Int_Tables_number 1
_cell_length_a 4.124
_cell_length_b 4.124
_cell_length_c 4.124
_cell_angle_alpha 60.00
_cell_angle_beta 60.00
_cell_angle_gamma 60.00
loop_
_symmetry_equiv_pos_as_xyz
'x,y,z'
loop_
_atom_site_label
_atom_site_type_symbol
_atom_site_fract_x
_atom_site_fract_y
_atom_site_fract_z
Re1 Re 0.000 0.000 0.000
Ni1 Ni 0.750 0.750 0.750
W1 W 0.250 0.250 0.250
# symmetry	F-43m



[8]
# YReNi | Alexandria | meta-GGA SCAN | single point on PBEsol structure
data_YReNi
_chemical_formula_sum 'Y1 Re1 Ni1'
_symmetry_space_group_name_H-M 'P 1'
_symmetry_Int_Tables_number 1
_cell_length_a 4.404
_cell_length_b 4.404
_cell_length_c 4.404
_cell_angle_alpha 60.00
_cell_angle_beta 60.00
_cell_angle_gamma 60.00
loop_
_symmetry_equiv_pos_as_xyz
'x,y,z'
loop_
_atom_site_label
_atom_site_type_symbol
_atom_site_fract_x
_atom_site_fract_y
_atom_site_fract_z
Y1 Y 0.000 0.000 0.000
Re1 Re 0.750 0.750 0.750
Ni1 Ni 0.250 0.250 0.250
# symmetry	F-43m



[9]
# YRe2Ni | Alexandria | meta-GGA SCAN | single point on PBEsol structure
data_YRe2Ni
_chemical_formula_sum 'Y1 Re2 Ni1'
_symmetry_space_group_name_H-M 'P 1'
_symmetry_Int_Tables_number 1
_cell_length_a 4.462
_cell_length_b 4.462
_cell_length_c 4.462
_cell_angle_alpha 60.00
_cell_angle_beta 60.00
_cell_angle_gamma 60.00
loop_
_symmetry_equiv_pos_as_xyz
'x,y,z'
loop_
_atom_site_label
_atom_site_type_symbol
_atom_site_fract_x
_atom_site_fract_y
_atom_site_fract_z
Y1 Y 0.000 0.000 0.000
Re1 Re 0.500 0.500 0.500
Re2 Re 0.750 0.750 0.750
Ni1 Ni 0.250 0.250 0.250
# symmetry	F-43m



[10]
# YReNi | Alexandria | meta-GGA SCAN | single point on PBEsol structure
data_YReNi
_chemical_formula_sum 'Y1 Re1 Ni1'
_symmetry_space_group_name_H-M 'P 1'
_symmetry_Int_Tables_number 1
_cell_length_a 4.277
_cell_length_b 4.277
_cell_length_c 4.277
_cell_angle_alpha 60.00
_cell_angle_beta 60.00
_cell_angle_gamma 60.00
loop_
_symmetry_equiv_pos_as_xyz
'x,y,z'
loop_
_atom_site_label
_atom_site_type_symbol
_atom_site_fract_x
_atom_site_fract_y
_atom_site_fract_z
Y1 Y 0.000 0.000 0.000
Re1 Re 0.500 0.500 0.500
Ni1 Ni 0.750 0.750 0.750
# symmetry	F-43m



[11]
# YRe2Ni | Alexandria | meta-GGA SCAN | single point on PBEsol structure
data_YRe2Ni
_chemical_formula_sum 'Y1 Re2 Ni1'
_symmetry_space_group_name_H-M 'P 1'
_symmetry_Int_Tables_number 1
_cell_length_a 2.711
_cell_length_b 2.711
_cell_length_c 8.436
_cell_angle_alpha 90.00
_cell_angle_beta 90.00
_cell_angle_gamma 90.00
loop_
_symmetry_equiv_pos_as_xyz
'x,y,z'
loop_
_atom_site_label
_atom_site_type_symbol
_atom_site_fract_x
_atom_site_fract_y
_atom_site_fract_z
Y1 Y 0.000 0.000 0.000
Re1 Re 0.500 0.500 0.293
Re2 Re 0.500 0.500 0.707
Ni1 Ni 0.000 0.000 0.500
# symmetry	P4/mmm



[12]
# Y3ReNi | Alexandria | meta-GGA SCAN | single point on PBEsol structure
data_Y3ReNi
_chemical_formula_sum 'Y3 Re1 Ni1'
_symmetry_space_group_name_H-M 'P 1'
_symmetry_Int_Tables_number 1
_cell_length_a 4.956
_cell_length_b 4.956
_cell_length_c 4.956
_cell_angle_alpha 90.00
_cell_angle_beta 90.00
_cell_angle_gamma 90.00
loop_
_symmetry_equiv_pos_as_xyz
'x,y,z'
loop_
_atom_site_label
_atom_site_type_symbol
_atom_site_fract_x
_atom_site_fract_y
_atom_site_fract_z
Y1 Y 0.000 0.000 0.500
Y2 Y 0.000 0.500 0.000
Y3 Y 0.500 0.000 0.000
Re1 Re 0.500 0.500 0.500
Ni1 Ni 0.000 0.000 0.000
# symmetry	Pm-3m



[13]
# YRe2Ni | Alexandria | meta-GGA SCAN | single point on PBEsol structure
data_YRe2Ni
_chemical_formula_sum 'Y1 Re2 Ni1'
_symmetry_space_group_name_H-M 'P 1'
_symmetry_Int_Tables_number 1
_cell_length_a 5.439
_cell_length_b 5.439
_cell_length_c 2.735
_cell_angle_alpha 100.93
_cell_angle_beta 100.93
_cell_angle_gamma 122.06
loop_
_symmetry_equiv_pos_as_xyz
'x,y,z'
loop_
_atom_site_label
_atom_site_type_symbol
_atom_site_fract_x
_atom_site_fract_y
_atom_site_fract_z
Y1 Y 0.000 0.000 0.000
Re1 Re 0.000 0.500 0.500
Re2 Re 0.500 0.000 0.500
Ni1 Ni 0.500 0.500 0.000
# symmetry	C2/m



[14]
# Zn2ReNi | Alexandria | meta-GGA SCAN | single point on PBEsol structure
data_Zn2ReNi
_chemical_formula_sum 'Zn2 Re1 Ni1'
_symmetry_space_group_name_H-M 'P 1'
_symmetry_Int_Tables_number 1
_cell_length_a 5.063
_cell_length_b 5.063
_cell_length_c 5.063
_cell_angle_alpha 149.56
_cell_angle_beta 128.04
_cell_angle_gamma 61.42
loop_
_symmetry_equiv_pos_as_xyz
'x,y,z'
loop_
_atom_site_label
_atom_site_type_symbol
_atom_site_fract_x
_atom_site_fract_y
_atom_site_fract_z
Zn1 Zn 0.232 0.232 0.000
Zn2 Zn 0.768 0.768 0.000
Re1 Re 0.500 0.000 0.500
Ni1 Ni 0.000 0.500 0.500
# symmetry	Immm



[15]
# ZnReNi2 | Alexandria | meta-GGA SCAN | single point on PBEsol structure
data_ZnReNi2
_chemical_formula_sum 'Zn1 Re1 Ni2'
_symmetry_space_group_name_H-M 'P 1'
_symmetry_Int_Tables_number 1
_cell_length_a 8.319
_cell_length_b 8.319
_cell_length_c 8.319
_cell_angle_alpha 18.20
_cell_angle_beta 18.20
_cell_angle_gamma 18.20
loop_
_symmetry_equiv_pos_as_xyz
'x,y,z'
loop_
_atom_site_label
_atom_site_type_symbol
_atom_site_fract_x
_atom_site_fract_y
_atom_site_fract_z
Zn1 Zn 0.000 0.000 0.000
Re1 Re 0.500 0.500 0.500
Ni1 Ni 0.251 0.251 0.251
Ni2 Ni 0.749 0.749 0.749
# symmetry	R-3m



[16]
# ZnReNi2 | Alexandria | meta-GGA SCAN | single point on PBEsol structure
data_ZnReNi2
_chemical_formula_sum 'Zn1 Re1 Ni2'
_symmetry_space_group_name_H-M 'P 1'
_symmetry_Int_Tables_number 1
_cell_length_a 2.615
_cell_length_b 2.615
_cell_length_c 7.026
_cell_angle_alpha 90.00
_cell_angle_beta 90.00
_cell_angle_gamma 90.00
loop_
_symmetry_equiv_pos_as_xyz
'x,y,z'
loop_
_atom_site_label
_atom_site_type_symbol
_atom_site_fract_x
_atom_site_fract_y
_atom_site_fract_z
Zn1 Zn 0.000 0.000 0.000
Re1 Re 0.000 0.000 0.500
Ni1 Ni 0.500 0.500 0.246
Ni2 Ni 0.500 0.500 0.754
# symmetry	P4/mmm



[17]
# ZnReNi2 | Alexandria | meta-GGA SCAN | single point on PBEsol structure
data_ZnReNi2
_chemical_formula_sum 'Zn1 Re1 Ni2'
_symmetry_space_group_name_H-M 'P 1'
_symmetry_Int_Tables_number 1
_cell_length_a 2.573
_cell_length_b 3.617
_cell_length_c 5.219
_cell_angle_alpha 90.00
_cell_angle_beta 90.00
_cell_angle_gamma 90.00
loop_
_symmetry_equiv_pos_as_xyz
'x,y,z'
loop_
_atom_site_label
_atom_site_type_symbol
_atom_site_fract_x
_atom_site_fract_y
_atom_site_fract_z
Zn1 Zn 0.000 0.000 0.000
Re1 Re 0.500 0.500 0.699
Ni1 Ni 0.000 0.000 0.479
Ni2 Ni 0.500 0.500 0.220
# symmetry	Pmm2



[18]
# ZnReNi2 | Alexandria | meta-GGA SCAN | single point on PBEsol structure
data_ZnReNi2
_chemical_formula_sum 'Zn1 Re1 Ni2'
_symmetry_space_group_name_H-M 'P 1'
_symmetry_Int_Tables_number 1
_cell_length_a 3.724
_cell_length_b 3.724
_cell_length_c 3.517
_cell_angle_alpha 90.00
_cell_angle_beta 90.00
_cell_angle_gamma 90.00
loop_
_symmetry_equiv_pos_as_xyz
'x,y,z'
loop_
_atom_site_label
_atom_site_type_symbol
_atom_site_fract_x
_atom_site_fract_y
_atom_site_fract_z
Zn1 Zn 0.000 0.000 0.000
Re1 Re 0.500 0.500 0.000
Ni1 Ni 0.000 0.500 0.500
Ni2 Ni 0.500 0.000 0.500
# symmetry	P4/mmm



[19]
# Zn2ReNi | Alexandria | meta-GGA SCAN | single point on PBEsol structure
data_Zn2ReNi
_chemical_formula_sum 'Zn2 Re1 Ni1'
_symmetry_space_group_name_H-M 'P 1'
_symmetry_Int_Tables_number 1
_cell_length_a 2.621
_cell_length_b 3.663
_cell_length_c 5.358
_cell_angle_alpha 90.00
_cell_angle_beta 90.00
_cell_angle_gamma 90.00
loop_
_symmetry_equiv_pos_as_xyz
'x,y,z'
loop_
_atom_site_label
_atom_site_type_symbol
_atom_site_fract_x
_atom_site_fract_y
_atom_site_fract_z
Zn1 Zn 0.000 0.000 0.000
Zn2 Zn 0.500 0.500 0.245
Re1 Re 0.500 0.500 0.729
Ni1 Ni 0.000 0.000 0.499
# symmetry	Pmm2



[20]
# Zn2ReNi | Alexandria | meta-GGA SCAN | single point on PBEsol structure
data_Zn2ReNi
_chemical_formula_sum 'Zn2 Re1 Ni1'
_symmetry_space_group_name_H-M 'P 1'
_symmetry_Int_Tables_number 1
_cell_length_a 2.651
_cell_length_b 3.269
_cell_length_c 5.845
_cell_angle_alpha 90.00
_cell_angle_beta 90.00
_cell_angle_gamma 90.00
loop_
_symmetry_equiv_pos_as_xyz
'x,y,z'
loop_
_atom_site_label
_atom_site_type_symbol
_atom_site_fract_x
_atom_site_fract_y
_atom_site_fract_z
Zn1 Zn 0.000 0.000 0.224
Zn2 Zn 0.000 0.000 0.776
Re1 Re 0.500 0.500 0.500
Ni1 Ni 0.500 0.500 0.000
# symmetry	Pmmm



Number 1: calculated total energy -57.057 eV per atom, E_form 940 meV per atom. Number 2: calculated total energy -43.303 eV per atom, E_form 647 meV per atom. Number 3: calculated total energy -57.036 eV per atom, E_form 960 meV per atom. Number 4: calculated total energy -56.721 eV per atom, E_form 1276 meV per atom. Number 5: calculated total energy -43.251 eV per atom, E_form 700 meV per atom. Number 6: calculated total energy -52.197 eV per atom, E_form 122 meV per atom. Number 7: calculated total energy -51.502 eV per atom, E_form 817 meV per atom. Number 8: calculated total energy -36.830 eV per atom, E_form 1541 meV per atom. Number 9: calculated total energy -46.331 eV per atom, E_form 222 meV per atom. Number 10: calculated total energy -37.815 eV per atom, E_form 556 meV per atom. Number 11: calculated total energy -46.199 eV per atom, E_form 354 meV per atom. Number 12: calculated total energy -33.573 eV per atom, E_form 587 meV per atom. Number 13: calculated total energy -46.188 eV per atom, E_form 364 meV per atom. Number 14: calculated total energy -28.459 eV per atom, E_form 116 meV per atom. Number 15: calculated total energy -29.233 eV per atom, E_form 7 meV per atom. Number 16: calculated total energy -29.337 eV per atom, E_form -97 meV per atom. Number 17: calculated total energy -29.149 eV per atom, E_form 91 meV per atom. Number 18: calculated total energy -29.060 eV per atom, E_form 180 meV per atom. Number 19: calculated total energy -28.450 eV per atom, E_form 126 meV per atom. Number 20: calculated total energy -28.428 eV per atom, E_form 148 meV per atom.